[1]
{
  "formula": "SnHPd3",
  "functional": "PBE",
  "state": "relaxed",
  "mass_density_g_cm3": 9.59,
  "polymorph_energy_mev_per_atom": 151,
  "vol_a3_per_cell": 304.2,
  "final_energy_ev_per_atom": -4.8264,
  "lattice": [[-3.475, -2.552, -2.604], [-2.166, -3.678, 6.494], [-5.192, 5.599, 1.440]],
  "species": ["Pd", "Pd", "Pd", "Pd", "Pd", "Pd", "Pd", "Pd", "Pd", "Pd", "Pd", "Pd", "H", "H", "H", "H", "Sn", "Sn", "Sn", "Sn"],
  "frac_coords": [[0.230, 0.750, 0.167], [0.532, 0.929, 0.663], [0.270, 0.250, 0.667], [0.468, 0.071, 0.337], [0.032, 0.571, 0.837], [0.770, 0.250, 0.833], [0.968, 0.429, 0.163], [0.532, 0.571, 0.663], [0.468, 0.429, 0.337], [0.730, 0.750, 0.333], [0.032, 0.929, 0.837], [0.968, 0.071, 0.163], [0.496, 0.250, 0.486], [0.004, 0.750, 0.986], [0.504, 0.750, 0.514], [0.996, 0.250, 0.014], [0.000, 0.000, 0.500], [0.500, 0.500, 0.000], [0.500, 0.000, 0.000], [0.000, 0.500, 0.500]]
}

[2]
{
  "formula": "NaPtO3",
  "functional": "PBE",
  "state": "relaxed",
  "mass_density_g_cm3": 6.80,
  "vol_a3_per_cell": 259.8,
  "final_energy_ev_per_atom": -5.1319,
  "formation_energy_uncorrected_ev_per_atom": -0.685,
  "lattice": [[5.626, 0.001, 0.000], [0.001, 6.761, -0.688], [0.001, 0.574, 6.772]],
  "species": ["Pt", "Pt", "Pt", "Pt", "O", "O", "O", "O", "O", "O", "O", "O", "O", "O", "O", "O", "Na", "Na", "Na", "Na"],
  "frac_coords": [[0.374, 0.246, 0.254], [0.874, 0.254, 0.246], [0.126, 0.746, 0.754], [0.626, 0.754, 0.746], [0.383, 0.542, 0.696], [0.883, 0.958, 0.804], [0.617, 0.458, 0.304], [0.365, 0.898, 0.601], [0.135, 0.399, 0.102], [0.117, 0.304, 0.458], [0.635, 0.102, 0.399], [0.117, 0.042, 0.196], [0.865, 0.601, 0.898], [0.617, 0.196, 0.042], [0.383, 0.804, 0.958], [0.883, 0.696, 0.542], [0.750, 0.305, 0.695], [0.750, 0.805, 0.195], [0.250, 0.695, 0.305], [0.250, 0.195, 0.805]]
}

[3]
{
  "formula": "CrIrPd",
  "functional": "PBE",
  "state": "relaxed",
  "mass_density_g_cm3": 13.93,
  "ef_ev_per_atom": -0.026,
  "polymorph_energy_mev_per_atom": 38,
  "vol_a3_per_cell": 41.8,
  "final_energy_ev_per_atom": -7.9181,
  "lattice": [[2.702, 0.000, 0.000], [-1.351, 2.340, 0.000], [0.000, 0.000, 6.611]],
  "species": ["Ir", "Pd", "Cr"],
  "frac_coords": [[0.333, 0.667, 0.646], [0.000, 0.000, 0.013], [0.667, 0.333, 0.341]]
}